Record 1
DFT (PBE-GGA) results for an optimized crystal structure of Mg3As.

**DOS at the Fermi energy**: 0.454 states/eV/atom
**Spin magnetization**: 0.00 μB per cell
**Calculated formation energy**: -0.109 eV per atom
**Space-group type**: Pm-3n (223)

a = 5.5484 Å, b = 5.5484 Å, c = 5.5484 Å
α = 90.00°, β = 90.00°, γ = 90.00°
Last column: nearest neighbours and their distance in Å.
Atoms (fractional coordinates):
Mg1 0.0000 0.2500 0.5000  2 Mg 2.77, 4 As 3.10
Mg2 0.0000 0.7500 0.5000  2 Mg 2.77, 4 As 3.10
Mg3 0.2500 0.5000 0.0000  2 Mg 2.77, 4 As 3.10
Mg4 0.5000 0.0000 0.2500  2 Mg 2.77, 4 As 3.10
Mg5 0.5000 0.0000 0.7500  2 Mg 2.77, 4 As 3.10
Mg6 0.7500 0.5000 0.0000  2 Mg 2.77, 4 As 3.10
As1 0.0000 0.0000 0.0000  12 Mg 3.10
As2 0.5000 0.5000 0.5000  12 Mg 3.10

---

Record 2
DFT (PBE-GGA) results for an optimized crystal structure of Zr2FeHg.

**DOS at the Fermi energy**: 0.465 states/eV/atom
**Spin magnetization**: 0.02 μB per cell
**Calculated formation energy**: 0.175 eV per atom
**Space-group type**: F-43m (216)

a = 4.7419 Å, b = 4.7419 Å, c = 4.7419 Å
α = 60.00°, β = 60.00°, γ = 60.00°
Last column: nearest neighbours and their distance in Å.
Atoms (fractional coordinates):
Zr1 0.0000 0.0000 0.0000  4 Hg 2.90, 4 Zr 2.90
Zr2 0.2500 0.2500 0.2500  4 Fe 2.90, 4 Zr 2.90
Fe1 0.5000 0.5000 0.5000  4 Zr 2.90, 4 Hg 2.90
Hg1 0.7500 0.7500 0.7500  4 Fe 2.90, 4 Zr 2.90